Entry 1:
A crystal of RbBa4Sb3O relaxed with PBEsol, computed with SCAN.

a b c (Å): 8.9056 8.9056 10.3570
angles (deg): 115.46 115.46 90.00
Last column: nearest neighbours and their distance in Å.
Positions (direct):
Sb: 0.7500 0.7500 0.5000  8 Ba 3.70, 2 Rb 4.11
Sb: 0.8858 0.3858 0.0000  1 Sb 2.88
Sb: 0.2500 0.2500 0.5000  8 Ba 3.70, 2 Rb 4.11
Sb: 0.6142 0.8858 0.0000  1 Sb 2.88
Sb: 0.1142 0.6142 0.0000  1 Sb 2.88
Sb: 0.3858 0.1142 0.0000  1 Sb 2.88
O: 0.2500 0.7500 0.5000  4 Ba 2.54
O: 0.7500 0.2500 0.5000  4 Ba 2.54
Ba: 0.6873 0.5041 0.6914  1 O 2.54
Ba: 0.1873 0.6873 0.6914  1 O 2.54
Ba: 0.5041 0.0041 0.6914  1 O 2.54
Ba: 0.9959 0.8127 0.3086  1 O 2.54
Ba: 0.3127 0.4959 0.3086  1 O 2.54
Ba: 0.8127 0.3127 0.3086  1 O 2.54
Ba: 0.0041 0.1873 0.6914  1 O 2.54
Ba: 0.4959 0.9959 0.3086  1 O 2.54
Rb: 0.5000 0.5000 0.0000  4 Sb 3.58
Rb: 0.0000 0.0000 0.0000  4 Sb 3.58

E_form (uncorrected)	-1454	meV per atom
mass density	5.17	g/cm³

Entry 2:
A crystal of AgAsPt2 relaxed with PBEsol, computed with SCAN.

a b c (Å): 2.9276 4.6002 5.4671
angles (deg): 114.88 105.53 90.00
Last column: nearest neighbours and their distance in Å.
Positions (direct):
Pt: 0.7375 0.2375 0.4749  4 As 2.74, 4 Pt 2.83-2.93, 2 Ag 2.98
Pt: 0.9814 0.9814 0.9629  2 As 2.48, 4 Ag 2.74
As: 0.2701 0.7701 0.5402  6 Pt 2.48-2.74
Ag: 0.5110 0.5110 0.0220  6 Pt 2.74-2.98, 2 As 2.86, 2 Ag 2.93

ΔE_f	-0.031	eV per atom
mass density	14.91	g/cm³

Entry 3:
A crystal of LiZnRh2 relaxed with PBEsol, computed with SCAN.

a b c (Å): 2.8455 4.1989 4.9964
angles (deg): 114.85 106.55 90.00
Last column: nearest neighbours and their distance in Å.
Positions (direct):
Rh: 0.0001 0.0001 0.0004  4 Zn 2.54, 2 Rh 2.57, 2 Li 2.59
Rh: 0.7491 0.2492 0.4983  4 Li 2.54, 2 Rh 2.57, 2 Zn 2.60
Zn: 0.5018 0.5018 0.0038  6 Rh 2.54-2.60, 2 Li 2.56
Li: 0.2487 0.7488 0.4976  6 Rh 2.54-2.59, 2 Zn 2.56

ΔE_f	-0.218	eV per atom
mass density	8.98	g/cm³

Entry 4:
A crystal of PrSe2 relaxed with PBEsol, computed with SCAN.

a b c (Å): 8.2730 8.2730 8.5184
angles (deg): 90.00 90.00 90.00
Last column: nearest neighbours and their distance in Å.
Positions (direct):
Pr: 0.9935 0.7505 0.2743  9 Se 2.99-3.19
Pr: 0.2505 0.4935 0.7257  9 Se 2.99-3.19
Pr: 0.7505 0.0065 0.7257  9 Se 2.99-3.19
Pr: 0.4935 0.7495 0.2743  9 Se 2.99-3.19
Pr: 0.0065 0.2495 0.2743  9 Se 2.99-3.19
Pr: 0.7495 0.5065 0.7257  9 Se 2.99-3.19
Pr: 0.2495 0.9935 0.7257  9 Se 2.99-3.19
Pr: 0.5065 0.2505 0.2743  9 Se 2.99-3.19
Se: 0.0000 0.0000 0.0000  4 Se 2.93, 4 Pr 3.12
Se: 0.2499 0.4987 0.3674  5 Pr 2.99-3.08
Se: 0.5013 0.2499 0.6326  5 Pr 2.99-3.08
Se: 0.9987 0.7499 0.6326  5 Pr 2.99-3.08
Se: 0.0013 0.2501 0.6326  5 Pr 2.99-3.08
Se: 0.7501 0.5013 0.3674  5 Pr 2.99-3.08
Se: 0.4987 0.7501 0.6326  5 Pr 2.99-3.08
Se: 0.7690 0.2690 0.0000  3 Se 2.70-2.93
Se: 0.7499 0.0013 0.3674  5 Pr 2.99-3.08
Se: 0.0000 0.5000 0.0000  2 Se 2.70
Se: 0.5000 0.0000 0.0000  2 Se 2.70
Se: 0.2690 0.2310 0.0000  3 Se 2.70-2.93
Se: 0.5000 0.5000 0.0000  4 Se 2.93, 4 Pr 3.12
Se: 0.2310 0.7310 0.0000  3 Se 2.70-2.93
Se: 0.7310 0.7690 0.0000  3 Se 2.70-2.93
Se: 0.2501 0.9987 0.3674  5 Pr 2.99-3.08

E_form (uncorrected)	-1847	meV per atom
mass density	6.81	g/cm³

Entry 5:
A crystal of ScCu2 relaxed with PBEsol, computed with SCAN.

a b c (Å): 4.2412 4.2412 4.2412
angles (deg): 60.00 60.00 60.00
Last column: nearest neighbours and their distance in Å.
Positions (direct):
Cu: 0.2500 0.2500 0.2500  4 Sc 2.60
Cu: 0.7500 0.7500 0.7500  4 Sc 2.60
Sc: 0.0000 0.0000 0.0000  8 Cu 2.60

ΔE_f	0.369	eV per atom
mass density	5.30	g/cm³

Entry 6:
A crystal of Rb3AgF relaxed with PBEsol, computed with SCAN.

a b c (Å): 5.5714 5.5714 5.5714
angles (deg): 90.00 90.00 90.00
Last column: nearest neighbours and their distance in Å.
Positions (direct):
Rb: 0.0000 0.5000 0.0000  2 F 2.79
Rb: 0.5000 0.0000 0.0000  2 F 2.79
Rb: 0.0000 0.0000 0.5000  2 F 2.79
Ag: 0.5000 0.5000 0.5000  12 Rb 3.94
F: 0.0000 0.0000 0.0000  6 Rb 2.79

E_form (uncorrected)	-1063	meV per atom
mass density	3.68	g/cm³

Entry 7:
A crystal of SrBe2Sb relaxed with PBEsol, computed with SCAN.

a b c (Å): 3.8551 3.8931 5.8506
angles (deg): 90.00 109.67 90.00
Last column: nearest neighbours and their distance in Å.
Positions (direct):
Sb: 0.4993 0.0000 0.3741  2 Be 2.46-2.47
Be: 0.9327 0.5000 0.2287  2 Be 2.08
Be: 0.8574 0.0000 0.0954  2 Be 2.08
Sr: 0.2107 0.5000 0.8018  7 Be 3.03-3.19

E_form (uncorrected)	13	meV per atom
mass density	4.57	g/cm³

Entry 8:
A crystal of Hf3NiB relaxed with PBEsol, computed with SCAN.

a b c (Å): 4.6335 4.6335 4.6335
angles (deg): 90.00 90.00 90.00
Last column: nearest neighbours and their distance in Å.
Positions (direct):
Hf: 0.5000 0.0000 0.0000  2 Ni 2.32
Hf: 0.0000 0.0000 0.5000  2 Ni 2.32
Hf: 0.0000 0.5000 0.0000  2 Ni 2.32
B: 0.5000 0.5000 0.5000  12 Hf 3.28
Ni: 0.0000 0.0000 0.0000  6 Hf 2.32

ΔE_f	0.835	eV per atom
mass density	10.10	g/cm³